## Y4Al3W2C3 (PBE)

Data for an optimized crystal structure of Y4Al3W2C3.

```
Y4Al3W2C3
1.0
5.1074 -2.9934 0.0000
5.1074 2.9934 0.0000
-3.6164 0.0000 13.9263
Y Al W C
8 6 4 6
direct
0.0479 0.1891 0.1015
0.1173 0.2987 0.3983
0.1891 0.0479 0.6015
0.2987 0.1173 0.8983
0.7013 0.8827 0.1017
0.8109 0.9521 0.3985
0.8827 0.7013 0.6017
0.9521 0.8109 0.8985
0.1703 0.8297 0.2500
0.3298 0.4186 0.7539
0.4186 0.3298 0.2539
0.5814 0.6702 0.7461
0.6702 0.5814 0.2461
0.8297 0.1703 0.7500
0.3470 0.5246 0.0712
0.4754 0.6530 0.4288
0.5246 0.3470 0.5712
0.6530 0.4754 0.9288
0.0000 0.5000 0.0000
0.2031 0.6486 0.5000
0.3514 0.7969 0.0000
0.5000 0.0000 0.5000
0.6486 0.2031 0.0000
0.7969 0.3514 0.5000
```

Calculated total energy   -7.908 eV per atom
Total magnetization   0.0 μB per cell
Calculated density   6.554 g cm⁻³

## DyInCu (PBE)

Data for an optimized crystal structure of DyInCu.

```
DyInCu
1.0
8.3284 0.0000 0.0000
-4.1642 7.2126 0.0000
0.0000 0.0000 3.3090
Dy In Cu
3 3 3
direct
0.0000 0.2989 0.0000
0.2989 0.0000 0.0000
0.7011 0.7011 0.0000
0.0000 0.0000 0.5000
0.3333 0.6667 0.0000
0.6667 0.3333 0.0000
0.0000 0.6389 0.5000
0.3611 0.3611 0.5000
0.6389 0.0000 0.5000
```

Calculated total energy   -3.669 eV per atom
Total magnetization   0.0 μB per cell
Calculated density   8.543 g cm⁻³

## NiSnAs (PBE)

Data for an optimized crystal structure of NiSnAs.

```
NiSnAs
1.0
0.0000 3.0508 3.0508
3.0508 0.0000 3.0508
3.0508 3.0508 0.0000
Ni Sn As
1 1 1
direct
0.0000 0.0000 0.0000
0.2500 0.2500 0.2500
0.7500 0.7500 0.7500
```

Calculated total energy   -4.862 eV per atom
Total magnetization   0.0 μB per cell
Calculated density   7.378 g cm⁻³

## DyEr2AgHg3Au2 (PBE)

Data for an optimized crystal structure of DyEr2AgHg3Au2.

```
DyEr2AgHg3Au2
1.0
3.7080 0.0000 0.0000
0.0000 6.8960 3.9742
0.0000 -6.8960 3.9742
Dy Er Ag Hg Au
1 2 1 3 2
direct
0.0000 0.0000 0.0000
0.0000 0.4018 0.8041
0.0000 0.8041 0.4018
0.0000 0.4026 0.4026
0.5000 0.1298 0.4018
0.5000 0.4018 0.1298
0.5000 0.6737 0.6737
0.5000 0.0687 0.7336
0.5000 0.7336 0.0687
```

E_form   -0.578 eV per atom
Calculated total energy   -3.242 eV per atom
Total magnetization   0.0 μB per cell
Calculated density   13.077 g cm⁻³

## InCu7 (PBE)

Data for an optimized crystal structure of InCu7.

```
InCu7
1.0
2.7097 0.0000 0.0000
0.0000 2.7097 0.0000
0.0000 0.0000 38.4034
In Cu
2 14
direct
0.2500 0.2500 0.1652
0.7500 0.7500 0.8348
0.2500 0.2500 0.2669
0.2500 0.2500 0.3525
0.2500 0.2500 0.4370
0.2500 0.2500 0.5210
0.2500 0.2500 0.6050
0.2500 0.2500 0.6903
0.2500 0.2500 0.7764
0.7500 0.7500 0.2236
0.7500 0.7500 0.3097
0.7500 0.7500 0.3950
0.7500 0.7500 0.4790
0.7500 0.7500 0.5630
0.7500 0.7500 0.6475
0.7500 0.7500 0.7331
```

Calculated total energy   -3.489 eV per atom
Distance to the lowest polymorph of the same formula   0.31 eV per formula unit
Calculated density   6.591 g cm⁻³

## RbHoCdO3 (PBE)

Data for an optimized crystal structure of RbHoCdO3.

```
RbHoCdO3
1.0
1.7798 -6.7648 0.0000
1.7798 6.7648 0.0000
0.0000 0.0000 9.1544
Rb Ho Cd O
2 2 2 6
direct
0.1897 0.8103 0.7500
0.8103 0.1897 0.2500
0.5000 0.5000 0.0000
0.5000 0.5000 0.5000
0.0913 0.9087 0.2500
0.9087 0.0913 0.7500
0.1072 0.8928 0.0229
0.1072 0.8928 0.4771
0.4786 0.5214 0.2500
0.5214 0.4786 0.7500
0.8928 0.1072 0.5229
0.8928 0.1072 0.9771
```

Calculated total energy   -5.587 eV per atom
Total magnetization   0.0 μB per cell
Calculated density   6.189 g cm⁻³

## AcReAg (PBE)

Data for an optimized crystal structure of AcReAg.

```
AcReAg
1.0
0.0000 3.3822 3.3822
3.3822 0.0000 3.3822
3.3822 3.3822 0.0000
Ac Re Ag
1 1 1
direct
0.0000 0.0000 0.0000
0.2500 0.2500 0.2500
0.5000 0.5000 0.5000
```

E_form   1.003 eV per atom
Calculated total energy   -5.448 eV per atom
Distance to the lowest polymorph of the same formula   0.00 eV per formula unit
Total magnetization   0.8 μB per cell
Calculated density   11.182 g cm⁻³

## DyLu6Ni2S2 (PBE)

Data for an optimized crystal structure of DyLu6Ni2S2.

```
DyLu6Ni2S2
1.0
-1.8515 7.2615 4.4960
1.8515 -7.2615 4.4960
1.8515 7.2615 -4.4960
Dy Lu Ni S
1 6 2 2
direct
0.0000 0.0000 0.0000
0.0738 0.3883 0.6855
0.1160 0.7517 0.3644
0.3873 0.7517 0.6356
0.4755 0.5962 0.8793
0.7028 0.3883 0.3145
0.7169 0.5962 0.1207
0.3268 0.0862 0.2406
0.8456 0.0862 0.7594
0.3481 0.3481 0.0000
0.7481 0.2481 0.5000
```

Calculated total energy   -5.522 eV per atom
Total magnetization   0.0 μB per cell
Calculated density   9.572 g cm⁻³

## SmI (PBE)

Data for an optimized crystal structure of SmI.

```
SmI
1.0
3.8781 0.0000 0.0000
-1.9391 3.3585 0.0000
0.0000 0.0000 4.6947
Sm I
1 1
direct
0.0000 0.0000 0.0000
0.3333 0.6667 0.5000
```

Calculated total energy   -4.008 eV per atom
Total magnetization   0.0 μB per cell
Calculated density   7.530 g cm⁻³

## ErAgAu (PBE)

Data for an optimized crystal structure of ErAgAu.

```
ErAgAu
1.0
-1.8543 1.8543 4.5424
1.8543 -1.8543 4.5424
1.8543 1.8543 -4.5424
Er Ag Au
1 1 1
direct
0.0000 0.0000 0.0000
0.6726 0.6726 0.0000
0.3404 0.3404 0.0000
```

E_form   -0.640 eV per atom
Calculated total energy   -4.192 eV per atom
Distance to the lowest polymorph of the same formula   0.00 eV per formula unit
Total magnetization   0.0 μB per cell
Calculated density   12.549 g cm⁻³

## HoCuPd (PBE)

Data for an optimized crystal structure of HoCuPd.

```
HoCuPd
1.0
0.0000 3.2260 3.2260
3.2260 0.0000 3.2260
3.2260 3.2260 0.0000
Ho Cu Pd
1 1 1
direct
0.0000 0.0000 0.0000
0.7500 0.7500 0.7500
0.2500 0.2500 0.2500
```

E_form   -0.047 eV per atom
Calculated total energy   -4.537 eV per atom
Distance to the lowest polymorph of the same formula   1.08 eV per formula unit
Total magnetization   0.0 μB per cell
Calculated density   8.282 g cm⁻³

## Zr4CdBiC2 (PBE)

Data for an optimized crystal structure of Zr4CdBiC2.

```
Zr4CdBiC2
1.0
3.4060 0.0000 0.0000
-1.7030 2.9496 0.0000
0.0000 0.0000 14.9472
Zr Cd Bi C
4 1 1 2
direct
0.0000 0.0000 0.1667
0.0000 0.0000 0.8333
0.3333 0.6667 0.3310
0.3333 0.6667 0.6690
0.0000 0.0000 0.5000
0.3333 0.6667 0.0000
0.6667 0.3333 0.2493
0.6667 0.3333 0.7507
```

Calculated total energy   -7.788 eV per atom
Total magnetization   0.0 μB per cell
Calculated density   7.855 g cm⁻³